Entry 1:
This record from Alexandria describes AcPrCoO4 after structural relaxation. The functional is GGA+U.

It has space group I4mm (No. 107), with a = 3.829 Å, b = 3.829 Å, c = 13.215 Å, α = 90.00°, β = 90.00° and γ = 90.00°. The asymmetric unit holds Ac at (0.000, 0.000, 0.000), Pr at (0.000, 0.000, 0.726), Co at (0.000, 0.000, 0.353), O at (0.000, 0.000, 0.185), O at (0.000, 0.000, 0.545) and O at (0.000, 0.500, 0.355).

The value obtained for the calculated volume is 13.843 Å³ per atom. As for the density: 8411 kg/m³. The calculation puts the total energy at -103.522 eV/cell.

Entry 2:
This record from Alexandria describes AcCoPt2O8 after structural relaxation. The functional is GGA+U.

It has space group P-3m1 (No. 164), with a = 5.7726 Å, b = 5.7726 Å, c = 7.0935 Å, α = 90.00°, β = 90.00° and γ = 120.00°. The asymmetric unit holds Ac at (0.0000, 0.0000, 0.0000), Co at (0.0000, 0.0000, 0.5000), Pt at (0.3333, 0.6667, 0.2809), O at (0.1462, 0.2924, 0.3040) and O at (0.3333, 0.6667, 0.0100).

The value obtained for the calculated volume is 17.059 Å³ per atom. As for the density: 6523 kg/m³. The calculation puts the total energy at -69.249 eV/cell.

Entry 3:
This record from Alexandria describes Ac2CoPtO6 after structural relaxation. The functional is GGA+U.

It has space group P2_1/c (No. 14), with a = 5.748 Å, b = 5.800 Å, c = 9.933 Å, α = 90.00°, β = 125.31° and γ = 90.00°. The asymmetric unit holds Ac at (0.242, 0.037, 0.250), Co at (0.500, 0.000, 0.000), Pt at (0.000, 0.000, 0.500), O at (0.169, 0.217, 0.959), O at (0.247, 0.710, 0.961) and O at (0.323, 0.017, 0.749).

The value obtained for the calculated volume is 13.510 Å³ per atom. As for the density: 9882 kg/m³. The calculation puts the total energy at -140.773 eV/cell.

- Look up the density of the first one.
  8411 kg/m³

- The lowest total energy belongs to which entry?
  Ac2CoPtO6

- Which value of density does entry 1 give?
  8411 kg/m³

Copy entry 2 word for word.
This record from Alexandria describes AcCoPt2O8 after structural relaxation. The functional is GGA+U.

It has space group P-3m1 (No. 164), with a = 5.7726 Å, b = 5.7726 Å, c = 7.0935 Å, α = 90.00°, β = 90.00° and γ = 120.00°. The asymmetric unit holds Ac at (0.0000, 0.0000, 0.0000), Co at (0.0000, 0.0000, 0.5000), Pt at (0.3333, 0.6667, 0.2809), O at (0.1462, 0.2924, 0.3040) and O at (0.3333, 0.6667, 0.0100).

The value obtained for the calculated volume is 17.059 Å³ per atom. As for the density: 6523 kg/m³. The calculation puts the total energy at -69.249 eV/cell.